# 1
# TbHo6In PBE-GGA relaxed
# - Energy relative to the lowest polymorph listed for this composition: 130 kJ/mol of formula units
# - Formation enthalpy at 0 K: 54 meV/atom
# - ρ: 8.7 g/cm³
# - Magnetization: 0.00 μB/f.u.
data_TbHo6In
_chemical_formula_sum 'Tb1 Ho6 In1'
_cell_length_a 6.5547
_cell_length_b 6.5547
_cell_length_c 6.5121
_cell_angle_alpha 90.00
_cell_angle_beta 90.00
_cell_angle_gamma 120.00
_symmetry_space_group_name_H-M 'P -3 1 m'
_symmetry_Int_Tables_number 162
_symmetry_space_group_name_Hall '-P 3 2'
loop_
_atom_site_label
_atom_site_type_symbol
_atom_site_fract_x
_atom_site_fract_y
_atom_site_fract_z
Tb1 Tb 0.0000 0.0000 0.0000
Ho1 Ho 0.0000 0.4339 0.7477
In1 In 0.0000 0.0000 0.5000

---

# 2
# Ca2PRu PBE-GGA relaxed
# - Formation enthalpy at 0 K: 76 meV/atom
# - ρ: 4.1 g/cm³
# - Magnetization: 0.00 μB/f.u.
data_Ca2PRu
_chemical_formula_sum 'Ca6 P3 Ru3'
_cell_length_a 3.4235
_cell_length_b 3.4235
_cell_length_c 25.5486
_cell_angle_alpha 90.00
_cell_angle_beta 90.00
_cell_angle_gamma 120.00
_symmetry_space_group_name_H-M 'R -3 m'
_symmetry_Int_Tables_number 166
_symmetry_space_group_name_Hall '-R 3 2"'
loop_
_atom_site_label
_atom_site_type_symbol
_atom_site_fract_x
_atom_site_fract_y
_atom_site_fract_z
Ca1 Ca 0.0000 0.0000 0.2494
P1 P 0.0000 0.0000 0.5000
Ru1 Ru 0.0000 0.0000 0.0000

---

Q: magnetization of number 1 (TbHo6In)?
A: 0.00 μB/f.u.